Record 1
Computed, not measured: Ba2SrLiHg after structural relaxation at the PBE level of DFT.

abc: 6.760 6.760 5.285
angles: 90.00 90.00 90.00
Atoms (fractional coordinates):
Sr 0.500 0.500 0.500
Ba 0.500 0.000 0.000
Hg 0.000 0.000 0.000
Li 0.000 0.000 0.500
Ba 0.000 0.500 0.000

The calculation puts the electronic total energy at -1.651 eV per atom. The space group is No. 123. The formation energy comes out at -2.37 kcal/mol of atoms. Its crystal system is tetragonal. The relative energy among the computed polymorphs is 0 meV per atom.

=====

Record 2
Computed, not measured: BaSr2LiHg4 after structural relaxation at the PBE level of DFT.

abc: 5.592 5.592 9.817
angles: 73.45 73.45 60.00
Atoms (fractional coordinates):
Sr 0.241 0.241 0.277
Sr 0.759 0.759 0.723
Hg 0.611 0.611 0.167
Hg 0.124 0.124 0.628
Hg 0.389 0.389 0.833
Hg 0.876 0.876 0.372
Ba 0.000 0.000 0.000
Li 0.500 0.500 0.500

The calculation puts the electronic total energy at -1.481 eV per atom. The space group is No. 166. The formation energy comes out at -9.92 kcal/mol of atoms. Its crystal system is trigonal.

=====

Record 3
Computed, not measured: BaSr2LiHg after structural relaxation at the PBE level of DFT.

abc: 6.341 6.341 6.534
angles: 90.00 90.00 90.00
Atoms (fractional coordinates):
Hg 0.000 0.000 0.000
Sr 0.000 0.500 0.000
Sr 0.500 0.000 0.000
Li 0.500 0.500 0.500
Ba 0.000 0.000 0.500

The calculation puts the electronic total energy at -1.558 eV per atom. The space group is No. 123. The formation energy comes out at -1.33 kcal/mol of atoms. Its crystal system is tetragonal. The relative energy among the computed polymorphs is 56 meV per atom.

=====

Record 4
Computed, not measured: BaSrLi2Hg after structural relaxation at the PBE level of DFT.

abc: 4.294 5.535 8.249
angles: 109.60 105.09 90.00
Atoms (fractional coordinates):
Ba 0.419 0.419 0.838
Li 0.709 0.209 0.418
Hg 0.855 0.855 0.710
Li 0.041 0.041 0.082
Sr 0.188 0.688 0.377

The calculation puts the electronic total energy at -1.721 eV per atom. The space group is No. 44. The formation energy comes out at -4.02 kcal/mol of atoms. Its crystal system is orthorhombic. The relative energy among the computed polymorphs is 0 meV per atom.

=====

Calculated total magnetic moment (μB/atom), listed in the same order as above: 0.0000, 0.0000, 0.0000, 0.0000